[1]
The following is a DFT calculation (PBE) of a relaxed structure of BaAgW2.

Cell and atoms, written as extended XYZ:
```
4
Lattice="1.695 -2.487 0.000 1.695 2.487 0.000 0.000 0.000 10.192" Properties=species:S:1:pos:R:3 pbc="T T T"
Ba 0.000 0.000 0.000
Ag 1.695 0.000 7.190
W 0.000 0.000 4.879
W 1.695 0.000 2.970
```

Summary:
Space group: No. 35

=====

[2]
The following is a DFT calculation (PBE) of a relaxed structure of BaAgW2.

Cell and atoms, written as extended XYZ:
```
4
Lattice="4.212 -1.577 0.000 4.212 1.577 0.000 -0.991 0.000 7.399" Properties=species:S:1:pos:R:3 pbc="T T T"
Ba 0.000 0.000 0.000
Ag 6.073 0.000 2.452
W 1.199 0.000 4.976
W 3.683 0.000 3.949
```

Summary:
Space group: No. 8

=====

[3]
The following is a DFT calculation (PBE) of a relaxed structure of BaAgW2.

Cell and atoms, written as extended XYZ:
```
4
Lattice="-1.657 2.829 5.199 1.657 -2.829 5.199 1.657 2.829 -5.199" Properties=species:S:1:pos:R:3 pbc="T T T"
Ba 0.000 0.000 0.000
Ag 1.657 0.000 3.029
W 0.000 0.000 5.599
W 0.000 2.829 2.156
```

Summary:
Space group: No. 44

=====

[4]
The following is a DFT calculation (PBE) of a relaxed structure of BaY2Ag.

Cell and atoms, written as extended XYZ:
```
4
Lattice="5.496 0.000 0.000 0.000 5.496 0.000 0.000 0.000 4.097" Properties=species:S:1:pos:R:3 pbc="T T T"
Ba 0.000 0.000 0.000
Y 0.000 2.748 2.049
Y 2.748 0.000 2.049
Ag 2.748 2.748 0.000
```

Summary:
Space group: No. 123

=====

[5]
The following is a DFT calculation (PBE) of a relaxed structure of BaY2Ag.

Cell and atoms, written as extended XYZ:
```
4
Lattice="3.896 0.000 0.000 0.000 5.207 0.000 -1.799 0.000 6.592" Properties=species:S:1:pos:R:3 pbc="T T T"
Ba 0.000 0.000 0.000
Y 0.026 2.603 4.680
Y 2.071 2.603 1.911
Ag 1.049 0.000 3.296
```

Summary:
Space group: No. 10

=====

[6]
The following is a DFT calculation (PBE) of a relaxed structure of BaY2Ag.

Cell and atoms, written as extended XYZ:
```
4
Lattice="3.410 -6.171 0.000 3.410 6.171 0.000 -1.767 0.000 3.145" Properties=species:S:1:pos:R:3 pbc="T T T"
Ba 0.000 0.000 0.000
Y 0.821 3.086 1.572
Y 0.821 -3.086 1.572
Ag 3.410 0.000 0.000
```

Summary:
Space group: No. 12

=====

Number 1: calculated formation energy 0.828 eV per atom. Number 2: calculated formation energy 0.955 eV per atom. Number 3: calculated formation energy 1.136 eV per atom. Number 4: calculated formation energy 0.266 eV per atom. Number 5: calculated formation energy 0.153 eV per atom. Number 6: calculated formation energy 0.223 eV per atom.